VASP calculation (PBE-GGA) on LiCaSnPt after structural relaxation.

## Properties
For the volume, the calculation gives 21.73 Å³/atom. Its energy relative to the elements is -724 meV/atom. The calculation puts the final energy at -16.86 eV/cell. The mass density comes out at 6.894 Mg/m³. For the density of states at the Fermi level, the calculation gives 0.662 states/eV per atom. The space group is Cm (8).

Unit cell a=4.6654 b=4.6755 c=5.3381 alpha=116.14 beta=90.00 gamma=119.93
With the nearest neighbours (Å) after each atom.
Fractional positions:
Li1 0.8326 0.6652 0.1388  3 Sn 2.85, 3 Ca 2.89-3.19, 3 Pt 2.95-2.96
Ca1 0.6227 0.2454 0.5094  4 Li 2.89-3.20, 4 Pt 2.90-3.20
Sn1 0.0995 0.1991 0.9404  3 Pt 2.71, 3 Li 2.85
Pt1 0.4115 0.8229 0.8788  3 Sn 2.71, 1 Ca 2.90, 3 Li 2.95-2.96



VASP calculation (PBE-GGA) on LiCa2Sn3Pt4 after structural relaxation.

## Properties
For the volume, the calculation gives 21.33 Å³/atom. Its energy relative to the elements is -755 meV/atom. The calculation puts the final energy at -49.64 eV/cell. The mass density comes out at 9.524 Mg/m³. For the density of states at the Fermi level, the calculation gives 0.526 states/eV per atom. The space group is P-4m2 (115).

Unit cell a=4.2001 b=4.2001 c=12.0933 alpha=90.00 beta=90.00 gamma=90.00
With the nearest neighbours (Å) after each atom.
Fractional positions:
Li1 0.5000 0.5000 0.5000  4 Pt 2.72, 4 Sn 2.97
Ca1 0.5000 0.0000 0.2650  4 Pt 3.17, 6 Sn 3.34-3.53, 2 Li 3.53
Ca2 0.0000 0.5000 0.7350  4 Pt 3.17, 6 Sn 3.34-3.53, 2 Li 3.53
Sn1 0.0000 0.0000 0.5000  4 Pt 2.72, 4 Li 2.97
Sn2 0.5000 0.0000 0.8615  5 Pt 2.65-2.69
Sn3 0.0000 0.5000 0.1385  5 Pt 2.65-2.69
Pt1 0.5000 0.5000 0.0000  4 Sn 2.69, 4 Pt 2.97
Pt2 0.0000 0.0000 0.0000  4 Sn 2.69, 4 Pt 2.97
Pt3 0.5000 0.0000 0.6428  3 Sn 2.65-2.72, 2 Li 2.72
Pt4 0.0000 0.5000 0.3572  3 Sn 2.65-2.72, 2 Li 2.72



VASP calculation (PBE-GGA) on SrLi2CaPt after structural relaxation.

## Properties
For the volume, the calculation gives 28.93 Å³/atom. Its energy relative to the elements is -228 meV/atom. The calculation puts the final energy at -14.69 eV/cell. The mass density comes out at 3.865 Mg/m³. For the density of states at the Fermi level, the calculation gives 0.672 states/eV per atom. The space group is P4/mmm (123).

Unit cell a=5.1877 b=5.1877 c=5.3742 alpha=90.00 beta=90.00 gamma=90.00
With the nearest neighbours (Å) after each atom.
Fractional positions:
Sr1 0.5000 0.5000 0.5000  4 Ca 3.67, 8 Li 3.73
Ca1 0.0000 0.0000 0.5000  2 Pt 2.69
Pt1 0.0000 0.0000 0.0000  4 Li 2.59, 2 Ca 2.69
Li1 0.0000 0.5000 0.0000  2 Pt 2.59
Li2 0.5000 0.0000 0.0000  2 Pt 2.59



VASP calculation (PBE-GGA) on SrLiCaPt after structural relaxation.

## Properties
For the volume, the calculation gives 25.26 Å³/atom. Its energy relative to the elements is -445 meV/atom. The calculation puts the final energy at -13.42 eV/cell. The mass density comes out at 5.420 Mg/m³. For the density of states at the Fermi level, the calculation gives 0.859 states/eV per atom. The space group is F-43m (216).

Unit cell a=5.2278 b=5.2278 c=5.2278 alpha=60.00 beta=60.00 gamma=60.00
With the nearest neighbours (Å) after each atom.
Fractional positions:
Sr1 0.7500 0.7500 0.7500  4 Li 3.20, 4 Pt 3.20
Ca1 0.2500 0.2500 0.2500  4 Li 3.20, 4 Pt 3.20
Pt1 0.5000 0.5000 0.5000  4 Ca 3.20, 4 Sr 3.20
Li1 0.0000 0.0000 0.0000  4 Sr 3.20, 4 Ca 3.20



VASP calculation (PBE-GGA) on Sr2LiCaPt after structural relaxation.

## Properties
For the volume, the calculation gives 39.72 Å³/atom. Its energy relative to the elements is -397 meV/atom. The calculation puts the final energy at -15.31 eV/cell. The value obtained for the energy above the most stable polymorph in this dataset is 0 meV/atom. The mass density comes out at 3.489 Mg/m³. For the density of states at the Fermi level, the calculation gives 0.524 states/eV per atom. The space group is P4/mmm (123).

Unit cell a=5.9472 b=5.9472 c=5.6150 alpha=90.00 beta=90.00 gamma=90.00
With the nearest neighbours (Å) after each atom.
Fractional positions:
Sr1 0.0000 0.5000 0.0000  2 Pt 2.97
Sr2 0.5000 0.0000 0.0000  2 Pt 2.97
Ca1 0.0000 0.0000 0.5000  2 Pt 2.81
Pt1 0.0000 0.0000 0.0000  2 Ca 2.81, 4 Sr 2.97
Li1 0.5000 0.5000 0.5000  8 Sr 4.09, 4 Ca 4.21



VASP calculation (PBE-GGA) on Sr2LiCaPt after structural relaxation.

## Properties
For the volume, the calculation gives 36.63 Å³/atom. Its energy relative to the elements is -262 meV/atom. The calculation puts the final energy at -14.63 eV/cell. The value obtained for the energy above the most stable polymorph in this dataset is 136 meV/atom. The mass density comes out at 3.784 Mg/m³. For the density of states at the Fermi level, the calculation gives 0.709 states/eV per atom. The space group is P4/mmm (123).

Unit cell a=5.9536 b=5.9536 c=5.1672 alpha=90.00 beta=90.00 gamma=90.00
With the nearest neighbours (Å) after each atom.
Fractional positions:
Sr1 0.0000 0.5000 0.0000  2 Pt 2.98
Sr2 0.5000 0.0000 0.0000  2 Pt 2.98
Ca1 0.5000 0.5000 0.5000  8 Sr 3.94, 4 Li 4.21
Pt1 0.0000 0.0000 0.0000  2 Li 2.58
Li1 0.0000 0.0000 0.5000  2 Pt 2.58



VASP calculation (PBE-GGA) on LiCaTiPt2 after structural relaxation.

## Properties
For the volume, the calculation gives 19.14 Å³/atom. Its energy relative to the elements is -725 meV/atom. The calculation puts the final energy at -27.52 eV/cell. The value obtained for the energy above the most stable polymorph in this dataset is 0 meV/atom. The mass density comes out at 8.415 Mg/m³. For the density of states at the Fermi level, the calculation gives 0.653 states/eV per atom. The space group is I-4m2 (119).

Unit cell a=4.0759 b=4.0759 c=6.4423 alpha=108.44 beta=108.44 gamma=90.00
With the nearest neighbours (Å) after each atom.
Fractional positions:
Li1 0.2500 0.7500 0.5000  4 Pt 2.56
Ca1 0.0000 0.0000 0.0000  8 Pt 3.18, 4 Li 3.53, 4 Ti 3.53
Ti1 0.7500 0.2500 0.5000  4 Pt 2.56
Pt1 0.6162 0.6162 0.2324  2 Ti 2.56, 2 Li 2.56, 1 Pt 2.68
Pt2 0.3838 0.3838 0.7676  2 Ti 2.56, 2 Li 2.56, 1 Pt 2.68



VASP calculation (PBE-GGA) on LiCaTiPt2 after structural relaxation.

## Properties
For the volume, the calculation gives 21.81 Å³/atom. Its energy relative to the elements is -114 meV/atom. The calculation puts the final energy at -24.46 eV/cell. The value obtained for the energy above the most stable polymorph in this dataset is 612 meV/atom. The mass density comes out at 7.386 Mg/m³. For the density of states at the Fermi level, the calculation gives 0.863 states/eV per atom. The space group is P4/mmm (123).

Unit cell a=4.7975 b=4.7382 c=4.7975 alpha=90.00 beta=90.00 gamma=90.00
With the nearest neighbours (Å) after each atom.
Fractional positions:
Ca1 0.5000 0.5000 0.5000  8 Pt 3.37, 4 Li 3.39
Li1 0.0000 0.5000 0.0000  2 Ti 2.37
Pt1 0.0000 0.0000 0.5000  2 Ti 2.40
Pt2 0.5000 0.0000 0.0000  2 Ti 2.40
Ti1 0.0000 0.0000 0.0000  2 Li 2.37, 4 Pt 2.40